## TbCePrSm (PBE-GGA)

Data for a relaxed TbCePrSm crystal.

a b c (Å): 8.1474 8.1474 8.1474
angles (deg): 90.00 90.00 90.00
Last column: nearest neighbours and their distance in Å.
Atoms (fractional coordinates):
Tb1 0.0000 0.0000 0.0000  4 Sm 3.53, 4 Pr 3.53
Tb2 0.0000 0.5000 0.5000  4 Sm 3.53, 4 Pr 3.53
Tb3 0.5000 0.0000 0.5000  4 Sm 3.53, 4 Pr 3.53
Tb4 0.5000 0.5000 0.0000  4 Sm 3.53, 4 Pr 3.53
Ce1 0.0000 0.0000 0.5000  4 Pr 3.53, 4 Sm 3.53
Ce2 0.0000 0.5000 0.0000  4 Pr 3.53, 4 Sm 3.53
Ce3 0.5000 0.0000 0.0000  4 Pr 3.53, 4 Sm 3.53
Ce4 0.5000 0.5000 0.5000  4 Pr 3.53, 4 Sm 3.53
Pr1 0.2500 0.2500 0.2500  4 Tb 3.53, 4 Ce 3.53
Pr2 0.2500 0.7500 0.7500  4 Tb 3.53, 4 Ce 3.53
Pr3 0.7500 0.2500 0.7500  4 Tb 3.53, 4 Ce 3.53
Pr4 0.7500 0.7500 0.2500  4 Tb 3.53, 4 Ce 3.53
Sm1 0.2500 0.2500 0.7500  4 Tb 3.53, 4 Ce 3.53
Sm2 0.2500 0.7500 0.2500  4 Tb 3.53, 4 Ce 3.53
Sm3 0.7500 0.2500 0.2500  4 Tb 3.53, 4 Ce 3.53
Sm4 0.7500 0.7500 0.7500  4 Tb 3.53, 4 Ce 3.53

- ΔE_f: 0.20 eV/atom
- Crystal system: cubic
- N(E_F): 2.57 states/eV per atom